(1)
# Sc3ZnC | the Alexandria database | PBE | optimized geometry
# Mass density ... 3.843 g/cm3
# Energy above the most stable polymorph in this dataset ... 176.2 meV per atom
# ΔE_f ... -0.261 eV per atom
# Calculated total energy ... -0.453 Ry/atom
# DOS(E_F) ... 14.4 states/eV/cell
data_Sc3ZnC
_cell_length_a 3.325
_cell_length_b 7.209
_cell_length_c 8.069
_cell_angle_alpha 94.92
_cell_angle_beta 100.82
_cell_angle_gamma 102.95
_symmetry_space_group_name_H-M 'P 1'
_symmetry_Int_Tables_number 1
loop_
_symmetry_equiv_pos_as_xyz
'x,y,z'
loop_
_atom_site_label
_atom_site_type_symbol
_atom_site_fract_x
_atom_site_fract_y
_atom_site_fract_z
Sc1 Sc 0.000 0.000 0.000
Sc2 Sc 0.004 0.698 0.288
Sc3 Sc 0.211 0.496 0.944
Sc4 Sc 0.297 0.310 0.280
Sc5 Sc 0.415 0.144 0.709
Sc6 Sc 0.678 0.737 0.652
Zn1 Zn 0.713 0.016 0.406
Zn2 Zn 0.981 0.417 0.570
C1 C 0.569 0.250 0.022
C2 C 0.780 0.430 0.125

***

(2)
# TmPuInHg | the Alexandria database | PBE | optimized geometry
# Mass density ... 11.483 g/cm3
# Energy above the most stable polymorph in this dataset ... 28.7 meV per atom
# ΔE_f ... -0.252 eV per atom
# Calculated total energy ... -0.420 Ry/atom
# DOS(E_F) ... 39.4 states/eV/cell
data_TmPuInHg
_cell_length_a 7.497
_cell_length_b 7.497
_cell_length_c 7.497
_cell_angle_alpha 90.00
_cell_angle_beta 90.00
_cell_angle_gamma 90.00
_symmetry_space_group_name_H-M 'P 1'
_symmetry_Int_Tables_number 1
loop_
_symmetry_equiv_pos_as_xyz
'x,y,z'
loop_
_atom_site_label
_atom_site_type_symbol
_atom_site_fract_x
_atom_site_fract_y
_atom_site_fract_z
Tm1 Tm 0.000 0.000 0.000
Tm2 Tm 0.000 0.500 0.500
Tm3 Tm 0.500 0.000 0.500
Tm4 Tm 0.500 0.500 0.000
Pu1 Pu 0.000 0.000 0.500
Pu2 Pu 0.000 0.500 0.000
Pu3 Pu 0.500 0.000 0.000
Pu4 Pu 0.500 0.500 0.500
In1 In 0.250 0.250 0.250
In2 In 0.250 0.750 0.750
In3 In 0.750 0.250 0.750
In4 In 0.750 0.750 0.250
Hg1 Hg 0.250 0.250 0.750
Hg2 Hg 0.250 0.750 0.250
Hg3 Hg 0.750 0.250 0.250
Hg4 Hg 0.750 0.750 0.750

***

(3)
# Rb3YPu3Se8 | the Alexandria database | PBE | optimized geometry
# Mass density ... 5.656 g/cm3
# Calculated total energy ... -0.504 Ry/atom
# DOS(E_F) ... 30.4 states/eV/cell
data_Rb3YPu3Se8
_cell_length_a 9.441
_cell_length_b 9.441
_cell_length_c 9.441
_cell_angle_alpha 53.31
_cell_angle_beta 53.31
_cell_angle_gamma 53.31
_symmetry_space_group_name_H-M 'P 1'
_symmetry_Int_Tables_number 1
loop_
_symmetry_equiv_pos_as_xyz
'x,y,z'
loop_
_atom_site_label
_atom_site_type_symbol
_atom_site_fract_x
_atom_site_fract_y
_atom_site_fract_z
Rb1 Rb 0.000 0.500 0.500
Rb2 Rb 0.500 0.000 0.500
Rb3 Rb 0.500 0.500 0.000
Y1 Y 0.500 0.500 0.500
Pu1 Pu 0.000 0.000 0.500
Pu2 Pu 0.000 0.500 0.000
Pu3 Pu 0.500 0.000 0.000
Se1 Se 0.229 0.731 0.731
Se2 Se 0.231 0.231 0.231
Se3 Se 0.269 0.269 0.771
Se4 Se 0.269 0.771 0.269
Se5 Se 0.731 0.229 0.731
Se6 Se 0.731 0.731 0.229
Se7 Se 0.769 0.769 0.769
Se8 Se 0.771 0.269 0.269

***

(4)
# Cr2WSe2 | the Alexandria database | PBE | optimized geometry
# Mass density ... 10.296 g/cm3
# Energy above the most stable polymorph in this dataset ... 0.0 meV per atom
# Calculated total energy ... -0.543 Ry/atom
# DOS(E_F) ... 12.2 states/eV/cell
data_Cr2WSe2
_cell_length_a 6.883
_cell_length_b 6.883
_cell_length_c 3.035
_cell_angle_alpha 90.00
_cell_angle_beta 90.00
_cell_angle_gamma 90.00
_symmetry_space_group_name_H-M 'P 1'
_symmetry_Int_Tables_number 1
loop_
_symmetry_equiv_pos_as_xyz
'x,y,z'
loop_
_atom_site_label
_atom_site_type_symbol
_atom_site_fract_x
_atom_site_fract_y
_atom_site_fract_z
Cr1 Cr 0.141 0.359 0.000
Cr2 Cr 0.359 0.859 0.000
Cr3 Cr 0.641 0.141 0.000
Cr4 Cr 0.859 0.641 0.000
W1 W 0.000 0.000 0.500
W2 W 0.500 0.500 0.500
Se1 Se 0.160 0.660 0.500
Se2 Se 0.340 0.160 0.500
Se3 Se 0.660 0.840 0.500
Se4 Se 0.840 0.340 0.500